VASP calculation (GGA-PBE) on a relaxed structure of Na3NbCd.

The value obtained for the total energy is -9.022 eV/cell. The formation energy comes out at 1.18 eV/atom.

It has space group Pm-3m (No. 221), with a = 6.002 Å, b = 6.002 Å, c = 6.002 Å, α = 90.00°, β = 90.00° and γ = 90.00°. The asymmetric unit holds Na at (0.000, 0.000, 0.500), Nb at (0.000, 0.000, 0.000) and Cd at (0.500, 0.500, 0.500).